The following is a DFT calculation (PBE-GGA) of an optimized crystal structure of BaMg2Hg2Pb.

Structure (extended XYZ):
```
6
Lattice="-1.4509 0.6422 -4.7270 4.6958 -1.3413 1.0062 -2.1669 -7.8914 -0.4071" Properties=species:S:1:pos:R:3 pbc="T T T"
Mg 1.2192 -5.8795 -1.1731
Mg -0.1413 -2.7110 -2.9548
Hg 2.1090 -2.6389 -1.0059
Hg -1.0311 -5.9516 -3.1220
Ba 0.0000 0.0000 0.0000
Pb -1.0835 -3.9457 -0.2035
```

Output
Space-group type: P-3m1
Formation energy from the elements, meV per atom: -327